1.
# LuTiCu2

LuTiCu2 after structural relaxation (PBE-GGA, the Alexandria database).

Cell lengths 3.2586, 4.5735, 4.5735 Å; angles 90.00, 90.00, 90.00 degrees
With the nearest neighbours (Å) after each atom.
Fractional positions:
Lu 0.5000 0.5000 0.5000  8 Cu 2.81
Cu 0.0000 0.0000 0.5000  4 Lu 2.81, 4 Ti 2.81
Cu 0.0000 0.5000 0.0000  4 Ti 2.81, 4 Lu 2.81
Ti 0.5000 0.0000 0.0000  8 Cu 2.81

Calculated values
total moment = 1.2 μB/cell
symmetry = No. 123
crystal system = tetragonal

2.
# LuTiCu2

LuTiCu2 after structural relaxation (PBE-GGA, the Alexandria database).

Cell lengths 3.2353, 3.2353, 6.4818 Å; angles 90.00, 90.00, 90.00 degrees
With the nearest neighbours (Å) after each atom.
Fractional positions:
Lu 0.5000 0.5000 0.5000  8 Cu 2.95, 4 Lu 3.24, 2 Ti 3.24
Cu 0.0000 0.0000 0.7870  4 Ti 2.67, 1 Cu 2.76, 4 Lu 2.95
Cu 0.0000 0.0000 0.2130  4 Ti 2.67, 1 Cu 2.76, 4 Lu 2.95
Ti 0.5000 0.5000 0.0000  8 Cu 2.67

Calculated values
total moment = 1.0 μB/cell
symmetry = No. 123
crystal system = tetragonal

Tell me which of them is the least stable. Sure, it is 1.

1.
# LuZrCu2

LuZrCu2 after structural relaxation (PBE-GGA, the Alexandria database).

Cell lengths 3.3230, 3.3230, 6.7116 Å; angles 90.00, 90.00, 90.00 degrees
With the nearest neighbours (Å) after each atom.
Fractional positions:
Lu 0.5000 0.5000 0.5000  8 Cu 2.95
Cu 0.0000 0.0000 0.7648  4 Zr 2.83, 4 Lu 2.95, 1 Cu 3.16
Cu 0.0000 0.0000 0.2352  4 Zr 2.83, 4 Lu 2.95, 1 Cu 3.16
Zr 0.5000 0.5000 0.0000  8 Cu 2.83

Calculated values
total moment = 0.5 μB/cell
symmetry = No. 123
crystal system = tetragonal

2.
# LuZrCu2

LuZrCu2 after structural relaxation (PBE-GGA, the Alexandria database).

Cell lengths 3.3064, 4.7290, 4.7290 Å; angles 90.00, 90.00, 90.00 degrees
With the nearest neighbours (Å) after each atom.
Fractional positions:
Lu 0.5000 0.5000 0.5000  8 Cu 2.89
Zr 0.5000 0.0000 0.0000  8 Cu 2.89
Cu 0.0000 0.0000 0.5000  4 Zr 2.89, 4 Lu 2.89
Cu 0.0000 0.5000 0.0000  4 Zr 2.89, 4 Lu 2.89

Calculated values
total moment = 0.6 μB/cell
symmetry = No. 123
crystal system = tetragonal

Tell me which of them is the least stable. Sure, it is 2.